P:
# AgSn2Te3 (PBE, relaxed)
# Volume in A^3/atom: 29.6
# Theoretical density in Mg/m³: 6.810
# Spin magnetization in μB per formula unit: 0.00
data_AgSn2Te3
_cell_length_a 4.398
_cell_length_b 6.185
_cell_length_c 7.549
_cell_angle_alpha 114.19
_cell_angle_beta 106.94
_cell_angle_gamma 90.00
_symmetry_space_group_name_H-M 'P 1'
_symmetry_Int_Tables_number 1
loop_
_symmetry_equiv_pos_as_xyz
'x,y,z'
loop_
_atom_site_label
_atom_site_type_symbol
_atom_site_fract_x
_atom_site_fract_y
_atom_site_fract_z
_atom_site_occupancy
Ag1 Ag 0.500 0.500 0.500 1
Sn1 Sn 0.830 0.830 0.159 1
Sn2 Sn 0.170 0.170 0.841 1
Te1 Te 0.841 0.341 0.182 1
Te2 Te 0.159 0.659 0.818 1
Te3 Te 0.500 0.000 0.500 1



Q:
# AgSn2Te3 (PBE, relaxed)
# Volume in A^3/atom: 29.7
# Theoretical density in Mg/m³: 6.779
# Spin magnetization in μB per formula unit: 0.00
data_AgSn2Te3
_cell_length_a 6.187
_cell_length_b 8.730
_cell_length_c 13.208
_cell_angle_alpha 90.00
_cell_angle_beta 90.00
_cell_angle_gamma 90.01
_symmetry_space_group_name_H-M 'P 1'
_symmetry_Int_Tables_number 1
loop_
_symmetry_equiv_pos_as_xyz
'x,y,z'
loop_
_atom_site_label
_atom_site_type_symbol
_atom_site_fract_x
_atom_site_fract_y
_atom_site_fract_z
_atom_site_occupancy
Ag1 Ag 0.250 0.878 0.092 1
Ag2 Ag 0.250 0.378 0.408 1
Ag3 Ag 0.750 0.622 0.592 1
Ag4 Ag 0.750 0.122 0.908 1
Sn1 Sn 0.251 0.874 0.738 1
Sn2 Sn 0.251 0.374 0.762 1
Sn3 Sn 0.250 0.867 0.420 1
Sn4 Sn 0.250 0.367 0.080 1
Sn5 Sn 0.750 0.633 0.920 1
Sn6 Sn 0.750 0.133 0.580 1
Sn7 Sn 0.749 0.626 0.238 1
Sn8 Sn 0.749 0.126 0.262 1
Te1 Te 0.250 0.616 0.580 1
Te2 Te 0.250 0.116 0.920 1
Te3 Te 0.250 0.637 0.921 1
Te4 Te 0.250 0.137 0.579 1
Te5 Te 0.250 0.626 0.249 1
Te6 Te 0.250 0.126 0.251 1
Te7 Te 0.750 0.874 0.749 1
Te8 Te 0.750 0.374 0.751 1
Te9 Te 0.750 0.863 0.421 1
Te10 Te 0.750 0.363 0.079 1
Te11 Te 0.750 0.884 0.080 1
Te12 Te 0.750 0.384 0.420 1



Most stable to least stable: P, Q



P:
# Ag3SnTe4 (PBE, relaxed)
# Volume in A^3/atom: 33.6
# Theoretical density in Mg/m³: 5.893
# Spin magnetization in μB per formula unit: 0.00
data_Ag3SnTe4
_cell_length_a 6.432
_cell_length_b 6.432
_cell_length_c 7.924
_cell_angle_alpha 113.95
_cell_angle_beta 113.95
_cell_angle_gamma 90.00
_symmetry_space_group_name_H-M 'P 1'
_symmetry_Int_Tables_number 1
loop_
_symmetry_equiv_pos_as_xyz
'x,y,z'
loop_
_atom_site_label
_atom_site_type_symbol
_atom_site_fract_x
_atom_site_fract_y
_atom_site_fract_z
_atom_site_occupancy
Te1 Te 0.380 0.380 0.254 1
Te2 Te 0.875 0.875 0.254 1
Te3 Te 0.125 0.620 0.746 1
Te4 Te 0.620 0.125 0.746 1
Sn1 Sn 0.000 0.000 0.000 1
Ag1 Ag 0.500 0.500 0.000 1
Ag2 Ag 0.750 0.250 0.500 1
Ag3 Ag 0.250 0.750 0.500 1



Q:
# Ag3SnTe4 (PBE, relaxed)
# Volume in A^3/atom: 33.6
# Theoretical density in Mg/m³: 5.894
# Spin magnetization in μB per formula unit: 0.00
data_Ag3SnTe4
_cell_length_a 7.581
_cell_length_b 7.875
_cell_length_c 8.991
_cell_angle_alpha 90.00
_cell_angle_beta 90.00
_cell_angle_gamma 90.00
_symmetry_space_group_name_H-M 'P 1'
_symmetry_Int_Tables_number 1
loop_
_symmetry_equiv_pos_as_xyz
'x,y,z'
loop_
_atom_site_label
_atom_site_type_symbol
_atom_site_fract_x
_atom_site_fract_y
_atom_site_fract_z
_atom_site_occupancy
Ag1 Ag 0.502 0.839 0.000 1
Ag2 Ag 0.996 0.670 0.248 1
Ag3 Ag 0.496 0.330 0.252 1
Ag4 Ag 0.002 0.161 0.500 1
Ag5 Ag 0.496 0.330 0.748 1
Ag6 Ag 0.996 0.670 0.752 1
Sn1 Sn 0.001 0.166 0.000 1
Sn2 Sn 0.501 0.834 0.500 1
Te1 Te 0.135 0.832 0.000 1
Te2 Te 0.627 0.170 0.000 1
Te3 Te 0.129 0.339 0.253 1
Te4 Te 0.629 0.661 0.247 1
Te5 Te 0.127 0.830 0.500 1
Te6 Te 0.635 0.168 0.500 1
Te7 Te 0.629 0.661 0.753 1
Te8 Te 0.129 0.339 0.747 1



Most stable to least stable: P, Q



P:
# Ag2SnTe (PBE, relaxed)
# Volume in A^3/atom: 24.8
# Theoretical density in Mg/m³: 7.747
# Spin magnetization in μB per formula unit: 0.00
data_Ag2SnTe
_cell_length_a 7.911
_cell_length_b 7.911
_cell_length_c 6.427
_cell_angle_alpha 52.02
_cell_angle_beta 52.02
_cell_angle_gamma 90.00
_symmetry_space_group_name_H-M 'P 1'
_symmetry_Int_Tables_number 1
loop_
_symmetry_equiv_pos_as_xyz
'x,y,z'
loop_
_atom_site_label
_atom_site_type_symbol
_atom_site_fract_x
_atom_site_fract_y
_atom_site_fract_z
_atom_site_occupancy
Te1 Te 0.000 0.000 0.000 1
Te2 Te 0.750 0.250 0.500 1
Sn1 Sn 0.500 0.500 0.000 1
Sn2 Sn 0.250 0.750 0.500 1
Ag1 Ag 0.629 0.125 0.250 1
Ag2 Ag 0.121 0.625 0.250 1
Ag3 Ag 0.375 0.371 0.750 1
Ag4 Ag 0.875 0.879 0.750 1



Q:
# Ag2SnTe (PBE, relaxed)
# Volume in A^3/atom: 23.6
# Theoretical density in Mg/m³: 8.121
# Spin magnetization in μB per formula unit: 0.00
data_Ag2SnTe
_cell_length_a 5.112
_cell_length_b 5.112
_cell_length_c 5.112
_cell_angle_alpha 60.00
_cell_angle_beta 60.00
_cell_angle_gamma 60.00
_symmetry_space_group_name_H-M 'P 1'
_symmetry_Int_Tables_number 1
loop_
_symmetry_equiv_pos_as_xyz
'x,y,z'
loop_
_atom_site_label
_atom_site_type_symbol
_atom_site_fract_x
_atom_site_fract_y
_atom_site_fract_z
_atom_site_occupancy
Te1 Te 0.500 0.500 0.500 1
Sn1 Sn 0.000 0.000 0.000 1
Ag1 Ag 0.250 0.250 0.250 1
Ag2 Ag 0.750 0.750 0.750 1



Most stable to least stable: P, Q



P:
# Ti3AgSn (PBE, relaxed)
# Volume in A^3/atom: 22.7
# Theoretical density in Mg/m³: 5.419
# Spin magnetization in μB per formula unit: 0.00
data_Ti3AgSn
_cell_length_a 4.841
_cell_length_b 4.841
_cell_length_c 4.841
_cell_angle_alpha 90.00
_cell_angle_beta 90.00
_cell_angle_gamma 90.00
_symmetry_space_group_name_H-M 'P 1'
_symmetry_Int_Tables_number 1
loop_
_symmetry_equiv_pos_as_xyz
'x,y,z'
loop_
_atom_site_label
_atom_site_type_symbol
_atom_site_fract_x
_atom_site_fract_y
_atom_site_fract_z
_atom_site_occupancy
Sn1 Sn 0.500 0.500 0.500 1
Ag1 Ag 0.000 0.000 0.000 1
Ti1 Ti 0.000 0.500 0.000 1
Ti2 Ti 0.000 0.000 0.500 1
Ti3 Ti 0.500 0.000 0.000 1



Q:
# Ti3AgSn (PBE, relaxed)
# Volume in A^3/atom: 19.3
# Theoretical density in Mg/m³: 6.354
# Spin magnetization in μB per formula unit: 0.25
data_Ti3AgSn
_cell_length_a 4.835
_cell_length_b 5.575
_cell_length_c 7.967
_cell_angle_alpha 90.03
_cell_angle_beta 90.01
_cell_angle_gamma 115.72
_symmetry_space_group_name_H-M 'P 1'
_symmetry_Int_Tables_number 1
loop_
_symmetry_equiv_pos_as_xyz
'x,y,z'
loop_
_atom_site_label
_atom_site_type_symbol
_atom_site_fract_x
_atom_site_fract_y
_atom_site_fract_z
_atom_site_occupancy
Ti1 Ti 0.036 0.072 0.193 1
Ti2 Ti 0.964 0.928 0.807 1
Ti3 Ti 0.680 0.361 0.745 1
Ti4 Ti 0.320 0.639 0.255 1
Ti5 Ti 0.869 0.738 0.466 1
Ti6 Ti 0.131 0.262 0.534 1
Ag1 Ag 0.223 0.447 0.920 1
Ag2 Ag 0.777 0.553 0.080 1
Sn1 Sn 0.400 0.800 0.648 1
Sn2 Sn 0.600 0.200 0.352 1



Most stable to least stable: Q, P



P:
# TiAg3Sn (PBE, relaxed)
# Volume in A^3/atom: 26.7
# Theoretical density in Mg/m³: 6.100
# Spin magnetization in μB per formula unit: 2.70
data_TiAg3Sn
_cell_length_a 5.110
_cell_length_b 5.110
_cell_length_c 5.110
_cell_angle_alpha 90.00
_cell_angle_beta 90.00
_cell_angle_gamma 90.00
_symmetry_space_group_name_H-M 'P 1'
_symmetry_Int_Tables_number 1
loop_
_symmetry_equiv_pos_as_xyz
'x,y,z'
loop_
_atom_site_label
_atom_site_type_symbol
_atom_site_fract_x
_atom_site_fract_y
_atom_site_fract_z
_atom_site_occupancy
Sn1 Sn 0.000 0.000 0.000 1
Ag1 Ag 0.000 0.500 0.000 1
Ag2 Ag 0.000 0.000 0.500 1
Ag3 Ag 0.500 0.000 0.000 1
Ti1 Ti 0.500 0.500 0.500 1



Q:
# TiAg3Sn (PBE, relaxed)
# Volume in A^3/atom: 26.0
# Theoretical density in Mg/m³: 6.269
# Spin magnetization in μB per formula unit: 1.83
data_TiAg3Sn
_cell_length_a 5.064
_cell_length_b 5.064
_cell_length_c 5.064
_cell_angle_alpha 90.00
_cell_angle_beta 90.00
_cell_angle_gamma 90.00
_symmetry_space_group_name_H-M 'P 1'
_symmetry_Int_Tables_number 1
loop_
_symmetry_equiv_pos_as_xyz
'x,y,z'
loop_
_atom_site_label
_atom_site_type_symbol
_atom_site_fract_x
_atom_site_fract_y
_atom_site_fract_z
_atom_site_occupancy
Sn1 Sn 0.500 0.500 0.500 1
Ag1 Ag 0.000 0.500 0.000 1
Ag2 Ag 0.000 0.000 0.500 1
Ag3 Ag 0.500 0.000 0.000 1
Ti1 Ti 0.000 0.000 0.000 1



Most stable to least stable: P, Q



P:
# TlAg2Sn (PBE, relaxed)
# Volume in A^3/atom: 22.9
# Theoretical density in Mg/m³: 9.765
# Spin magnetization in μB per formula unit: 0.00
data_TlAg2Sn
_cell_length_a 3.430
_cell_length_b 3.430
_cell_length_c 9.491
_cell_angle_alpha 79.00
_cell_angle_beta 79.00
_cell_angle_gamma 57.20
_symmetry_space_group_name_H-M 'P 1'
_symmetry_Int_Tables_number 1
loop_
_symmetry_equiv_pos_as_xyz
'x,y,z'
loop_
_atom_site_label
_atom_site_type_symbol
_atom_site_fract_x
_atom_site_fract_y
_atom_site_fract_z
_atom_site_occupancy
Tl1 Tl 0.491 0.491 0.500 1
Ag1 Ag 0.079 0.079 0.756 1
Ag2 Ag 0.261 0.261 0.244 1
Sn1 Sn 0.669 0.669 0.000 1



Q:
# TlAg2Sn (PBE, relaxed)
# Volume in A^3/atom: 23.1
# Theoretical density in Mg/m³: 9.694
# Spin magnetization in μB per formula unit: 0.00
data_TlAg2Sn
_cell_length_a 3.517
_cell_length_b 3.517
_cell_length_c 7.462
_cell_angle_alpha 90.00
_cell_angle_beta 90.00
_cell_angle_gamma 90.00
_symmetry_space_group_name_H-M 'P 1'
_symmetry_Int_Tables_number 1
loop_
_symmetry_equiv_pos_as_xyz
'x,y,z'
loop_
_atom_site_label
_atom_site_type_symbol
_atom_site_fract_x
_atom_site_fract_y
_atom_site_fract_z
_atom_site_occupancy
Tl1 Tl 0.500 0.500 0.500 1
Sn1 Sn 0.500 0.500 0.000 1
Ag1 Ag 0.000 0.000 0.768 1
Ag2 Ag 0.000 0.000 0.232 1



R:
# TlAg2Sn (PBE, relaxed)
# Volume in A^3/atom: 24.8
# Theoretical density in Mg/m³: 9.020
# Spin magnetization in μB per formula unit: 0.00
data_TlAg2Sn
_cell_length_a 8.017
_cell_length_b 8.017
_cell_length_c 6.455
_cell_angle_alpha 51.61
_cell_angle_beta 51.61
_cell_angle_gamma 90.00
_symmetry_space_group_name_H-M 'P 1'
_symmetry_Int_Tables_number 1
loop_
_symmetry_equiv_pos_as_xyz
'x,y,z'
loop_
_atom_site_label
_atom_site_type_symbol
_atom_site_fract_x
_atom_site_fract_y
_atom_site_fract_z
_atom_site_occupancy
Tl1 Tl 0.000 0.000 0.000 1
Tl2 Tl 0.750 0.250 0.500 1
Sn1 Sn 0.500 0.500 0.000 1
Sn2 Sn 0.250 0.750 0.500 1
Ag1 Ag 0.613 0.125 0.250 1
Ag2 Ag 0.137 0.625 0.250 1
Ag3 Ag 0.375 0.387 0.750 1
Ag4 Ag 0.875 0.863 0.750 1



Most stable to least stable: Q, P, R



P:
# TlAg2Sn2 (PBE, relaxed)
# Volume in A^3/atom: 24.6
# Theoretical density in Mg/m³: 8.894
# Spin magnetization in μB per formula unit: 0.00
data_TlAg2Sn2
_cell_length_a 8.725
_cell_length_b 8.725
_cell_length_c 3.225
_cell_angle_alpha 90.00
_cell_angle_beta 90.00
_cell_angle_gamma 90.00
_symmetry_space_group_name_H-M 'P 1'
_symmetry_Int_Tables_number 1
loop_
_symmetry_equiv_pos_as_xyz
'x,y,z'
loop_
_atom_site_label
_atom_site_type_symbol
_atom_site_fract_x
_atom_site_fract_y
_atom_site_fract_z
_atom_site_occupancy
Tl1 Tl 0.000 0.000 0.000 1
Tl2 Tl 0.500 0.500 0.000 1
Sn1 Sn 0.143 0.643 0.500 1
Sn2 Sn 0.643 0.857 0.500 1
Sn3 Sn 0.857 0.357 0.500 1
Sn4 Sn 0.357 0.143 0.500 1
Ag1 Ag 0.347 0.847 0.000 1
Ag2 Ag 0.847 0.653 0.000 1
Ag3 Ag 0.653 0.153 0.000 1
Ag4 Ag 0.153 0.347 0.000 1



Q:
# TlAg2Sn2 (PBE, relaxed)
# Volume in A^3/atom: 25.9
# Theoretical density in Mg/m³: 8.444
# Spin magnetization in μB per formula unit: 0.00
data_TlAg2Sn2
_cell_length_a 4.486
_cell_length_b 4.486
_cell_length_c 7.166
_cell_angle_alpha 71.76
_cell_angle_beta 71.76
_cell_angle_gamma 90.00
_symmetry_space_group_name_H-M 'P 1'
_symmetry_Int_Tables_number 1
loop_
_symmetry_equiv_pos_as_xyz
'x,y,z'
loop_
_atom_site_label
_atom_site_type_symbol
_atom_site_fract_x
_atom_site_fract_y
_atom_site_fract_z
_atom_site_occupancy
Tl1 Tl 0.000 0.000 0.000 1
Sn1 Sn 0.385 0.385 0.229 1
Sn2 Sn 0.615 0.615 0.771 1
Ag1 Ag 0.750 0.250 0.500 1
Ag2 Ag 0.250 0.750 0.500 1



Most stable to least stable: P, Q



P:
# TlAgSn3 (PBE, relaxed)
# Volume in A^3/atom: 28.2
# Theoretical density in Mg/m³: 7.876
# Spin magnetization in μB per formula unit: 0.00
data_TlAgSn3
_cell_length_a 6.321
_cell_length_b 7.177
_cell_length_c 7.176
_cell_angle_alpha 120.02
_cell_angle_beta 90.00
_cell_angle_gamma 90.00
_symmetry_space_group_name_H-M 'P 1'
_symmetry_Int_Tables_number 1
loop_
_symmetry_equiv_pos_as_xyz
'x,y,z'
loop_
_atom_site_label
_atom_site_type_symbol
_atom_site_fract_x
_atom_site_fract_y
_atom_site_fract_z
_atom_site_occupancy
Tl1 Tl 0.750 0.667 0.334 1
Tl2 Tl 0.250 0.333 0.666 1
Ag1 Ag 0.000 0.000 0.000 1
Ag2 Ag 0.500 0.000 0.000 1
Sn1 Sn 0.750 0.617 0.809 1
Sn2 Sn 0.250 0.809 0.617 1
Sn3 Sn 0.250 0.383 0.191 1
Sn4 Sn 0.750 0.191 0.383 1
Sn5 Sn 0.250 0.809 0.191 1
Sn6 Sn 0.750 0.191 0.809 1



Q:
# TlAgSn3 (PBE, relaxed)
# Volume in A^3/atom: 27.4
# Theoretical density in Mg/m³: 8.087
# Spin magnetization in μB per formula unit: 0.00
data_TlAgSn3
_cell_length_a 4.750
_cell_length_b 6.950
_cell_length_c 8.806
_cell_angle_alpha 100.92
_cell_angle_beta 105.65
_cell_angle_gamma 90.00
_symmetry_space_group_name_H-M 'P 1'
_symmetry_Int_Tables_number 1
loop_
_symmetry_equiv_pos_as_xyz
'x,y,z'
loop_
_atom_site_label
_atom_site_type_symbol
_atom_site_fract_x
_atom_site_fract_y
_atom_site_fract_z
_atom_site_occupancy
Tl1 Tl 0.579 0.381 0.158 1
Tl2 Tl 0.421 0.619 0.842 1
Ag1 Ag 0.811 0.790 0.623 1
Ag2 Ag 0.189 0.210 0.377 1
Sn1 Sn 0.048 0.827 0.096 1
Sn2 Sn 0.952 0.173 0.904 1
Sn3 Sn 0.339 0.055 0.677 1
Sn4 Sn 0.661 0.945 0.323 1
Sn5 Sn 0.207 0.634 0.414 1
Sn6 Sn 0.793 0.366 0.586 1



R:
# TlAgSn3 (PBE, relaxed)
# Volume in A^3/atom: 31.9
# Theoretical density in Mg/m³: 6.953
# Spin magnetization in μB per formula unit: 0.00
data_TlAgSn3
_cell_length_a 5.425
_cell_length_b 5.425
_cell_length_c 5.425
_cell_angle_alpha 90.00
_cell_angle_beta 90.00
_cell_angle_gamma 90.00
_symmetry_space_group_name_H-M 'P 1'
_symmetry_Int_Tables_number 1
loop_
_symmetry_equiv_pos_as_xyz
'x,y,z'
loop_
_atom_site_label
_atom_site_type_symbol
_atom_site_fract_x
_atom_site_fract_y
_atom_site_fract_z
_atom_site_occupancy
Tl1 Tl 0.500 0.500 0.500 1
Sn1 Sn 0.000 0.500 0.000 1
Sn2 Sn 0.000 0.000 0.500 1
Sn3 Sn 0.500 0.000 0.000 1
Ag1 Ag 0.000 0.000 0.000 1



Most stable to least stable: Q, P, R